{"formula": "CdIn8Pb5", "functional": "PBE", "state": "optimized geometry", "formation_enthalpy_0k_mev_per_atom": 75, "mass_density_g_cm3": 8.248, "lattice": [[7.627, 0.000, -2.878], [-3.685, 6.778, -2.635], [-0.258, 0.000, 8.148]], "species": ["In", "In", "In", "In", "In", "In", "In", "In", "Pb", "Pb", "Pb", "Pb", "Pb", "Cd"], "frac_coords": [[0.964, 0.092, 0.640], [0.547, 0.908, 0.871], [0.091, 0.709, 0.482], [0.518, 0.608, 0.227], [0.129, 0.676, 0.036], [0.619, 0.392, 0.909], [0.773, 0.291, 0.381], [0.360, 0.324, 0.453], [0.791, 0.712, 0.700], [0.300, 0.090, 0.012], [0.988, 0.288, 0.078], [0.500, 0.000, 0.500], [0.922, 0.910, 0.209], [0.250, 0.500, 0.750]]}